First-principles (GGA-PBE) data for LiTa2Cl after structural relaxation, as listed in Alexandria.

Results
For the formation energy without anion corrections, the calculation gives 1.63 eV/f.u. As for the density of states at the Fermi level: 2.47 states/eV/f.u. Its size of the total moment is 0.00 μB/cell. The relative energy among the computed polymorphs is 2.169 eV/f.u. For the total energy, the calculation gives -6.4577 eV per atom.

```
LiTa2Cl
1.0
-3.792 -2.428 -2.953
-4.050 -2.237 2.755
2.697 4.453 -1.376
Cl Li Ta
1 1 2
Direct
0.509 0.509 0.000
0.715 0.215 0.500
0.991 0.991 0.000
0.286 0.786 0.500
```

***

First-principles (GGA-PBE) data for CaDyY2 after structural relaxation, as listed in Alexandria.

Results
As for the density of states at the Fermi level: 6.10 states/eV/f.u. Its size of the total moment is 0.00 μB/cell. The relative energy among the computed polymorphs is 0.035 eV/f.u. For the total energy, the calculation gives -4.8153 eV per atom.

```
CaDyY2
1.0
-2.328 0.183 -2.776
-2.616 -1.377 2.103
-2.715 9.604 2.909
Y Ca Dy
2 1 1
Direct
0.000 0.000 0.770
0.000 0.000 0.230
0.500 0.500 0.500
0.500 0.500 0.000
```